1.
Entry from the Alexandria database: crystalline Te2Ir at its relaxed geometry (GGA-PBE).

Lattice parameters (Å, degrees): 4.6158 4.6158 3.9426 107.78 107.78 85.91
Closest atoms and distances in Å follow each position.
Sites, in units of the cell vectors:
Te1 0.2334 0.2334 0.2982  3 Ir 2.65-2.81
Te2 0.7666 0.7666 0.7018  3 Ir 2.65-2.81
Ir1 0.3744 0.6256 0.0000  6 Te 2.65-2.81

Summary:
- uncorrected formation energy (eV/atom) = 0.0879
- calculated volume (Å³/atom) = 25.382

2.
Entry from the Alexandria database: crystalline Te5Ir4 at its relaxed geometry (GGA-PBE).

Lattice parameters (Å, degrees): 7.6931 7.6931 7.6144 90.00 90.00 120.00
Closest atoms and distances in Å follow each position.
Sites, in units of the cell vectors:
Te1 0.0000 0.2438 0.2500  5 Ir 2.57-2.82
Te2 0.0000 0.7562 0.7500  5 Ir 2.57-2.82
Te3 0.2438 0.0000 0.2500  5 Ir 2.57-2.82
Te4 0.2438 0.2438 0.7500  5 Ir 2.57-2.82
Te5 0.3333 0.6667 0.0000  6 Ir 2.99
Te6 0.3333 0.6667 0.5000  6 Ir 2.99
Te7 0.6667 0.3333 0.0000  6 Ir 2.99
Te8 0.6667 0.3333 0.5000  6 Ir 2.99
Te9 0.7562 0.0000 0.7500  5 Ir 2.57-2.82
Te10 0.7562 0.7562 0.2500  5 Ir 2.57-2.82
Ir1 0.0000 0.0000 0.0000  6 Te 2.67
Ir2 0.0000 0.0000 0.5000  6 Te 2.67
Ir3 0.0000 0.4221 0.7500  3 Te 2.57-2.82
Ir4 0.0000 0.5779 0.2500  3 Te 2.57-2.82
Ir5 0.4221 0.0000 0.7500  3 Te 2.57-2.82
Ir6 0.4221 0.4221 0.2500  3 Te 2.57-2.82
Ir7 0.5779 0.0000 0.2500  3 Te 2.57-2.82
Ir8 0.5779 0.5779 0.7500  3 Te 2.57-2.82

Summary:
- uncorrected formation energy (eV/atom) = 0.3769
- calculated volume (Å³/atom) = 21.682

3.
Entry from the Alexandria database: crystalline TeIr3 at its relaxed geometry (GGA-PBE).

Lattice parameters (Å, degrees): 5.2032 5.2032 5.2032 116.48 116.48 116.48
Closest atoms and distances in Å follow each position.
Sites, in units of the cell vectors:
Te1 0.0000 0.0000 0.0000  6 Ir 2.74, 2 Te 2.96
Ir1 0.0000 0.5000 0.5000  6 Ir 2.74-2.96, 2 Te 2.74
Ir2 0.5000 0.0000 0.5000  2 Te 2.74, 6 Ir 2.74-2.96
Ir3 0.5000 0.5000 0.0000  6 Ir 2.74-2.96, 2 Te 2.74

Summary:
- uncorrected formation energy (eV/atom) = 0.7349
- calculated volume (Å³/atom) = 16.742

4.
Entry from the Alexandria database: crystalline TeIr3 at its relaxed geometry (GGA-PBE).

Lattice parameters (Å, degrees): 5.6422 8.1715 5.6620 90.00 90.00 90.00
Closest atoms and distances in Å follow each position.
Sites, in units of the cell vectors:
Te1 0.0022 0.2500 0.0190  6 Ir 2.65-2.75
Te2 0.4978 0.7500 0.5190  6 Ir 2.65-2.75
Te3 0.5022 0.2500 0.4810  6 Ir 2.65-2.75
Te4 0.9978 0.7500 0.9810  6 Ir 2.65-2.75
Ir1 0.0278 0.7500 0.5146  2 Te 2.65, 6 Ir 2.78-2.88
Ir2 0.2228 0.5166 0.2159  2 Te 2.65-2.75, 7 Ir 2.78-2.88
Ir3 0.2228 0.9834 0.2159  2 Te 2.65-2.75, 7 Ir 2.78-2.88
Ir4 0.2772 0.0166 0.7159  2 Te 2.65-2.75, 7 Ir 2.78-2.88
Ir5 0.2772 0.4834 0.7159  2 Te 2.65-2.75, 7 Ir 2.78-2.88
Ir6 0.4722 0.2500 0.0146  2 Te 2.65, 6 Ir 2.78-2.88
Ir7 0.5278 0.7500 0.9854  2 Te 2.65, 6 Ir 2.78-2.88
Ir8 0.7228 0.5166 0.2841  2 Te 2.65-2.75, 7 Ir 2.78-2.88
Ir9 0.7228 0.9834 0.2841  2 Te 2.65-2.75, 7 Ir 2.78-2.88
Ir10 0.7772 0.0166 0.7841  2 Te 2.65-2.75, 7 Ir 2.78-2.88
Ir11 0.7772 0.4834 0.7841  2 Te 2.65-2.75, 7 Ir 2.78-2.88
Ir12 0.9722 0.2500 0.4854  2 Te 2.65, 6 Ir 2.78-2.88

Summary:
- uncorrected formation energy (eV/atom) = 0.3852
- calculated volume (Å³/atom) = 16.316

5.
Entry from the Alexandria database: crystalline Te2Ir at its relaxed geometry (GGA-PBE).

Lattice parameters (Å, degrees): 7.1286 7.1286 7.7453 120.77 120.77 29.84
Closest atoms and distances in Å follow each position.
Sites, in units of the cell vectors:
Te1 0.1033 0.1033 0.4798  2 Ir 2.61
Te2 0.1282 0.1282 0.0387  4 Ir 2.79
Te3 0.8718 0.8718 0.9613  4 Ir 2.79
Te4 0.8967 0.8967 0.5202  2 Ir 2.61
Ir1 0.4552 0.4552 0.7989  6 Te 2.61-2.79, 1 Ir 2.68
Ir2 0.5448 0.5448 0.2011  6 Te 2.61-2.79, 1 Ir 2.68

Summary:
- uncorrected formation energy (eV/atom) = 0.0095
- calculated volume (Å³/atom) = 27.687

6.
Entry from the Alexandria database: crystalline TeIr5 at its relaxed geometry (GGA-PBE).

Lattice parameters (Å, degrees): 6.3292 6.3292 3.9668 90.00 90.00 143.66
Closest atoms and distances in Å follow each position.
Sites, in units of the cell vectors:
Te1 0.0000 0.0000 0.0000  12 Ir 2.80-2.89
Ir1 0.1747 0.8253 0.5000  10 Ir 2.68-2.88, 2 Te 2.89
Ir2 0.3330 0.6670 0.0000  10 Ir 2.75-2.82, 2 Te 2.82
Ir3 0.5000 0.5000 0.5000  4 Te 2.80, 8 Ir 2.82-2.88
Ir4 0.6670 0.3330 0.0000  10 Ir 2.75-2.82, 2 Te 2.82
Ir5 0.8253 0.1747 0.5000  10 Ir 2.68-2.88, 2 Te 2.89

Summary:
- uncorrected formation energy (eV/atom) = 0.3530
- calculated volume (Å³/atom) = 15.694